VASP calculation (PBE) on a relaxed Pu3GeO crystal.

a b c (Å): 4.7856 4.7856 4.7856
angles (deg): 90.00 90.00 90.00
With the nearest neighbours (Å) after each atom.
Fractional coordinates of all 5 atoms:
Ge 0.5000 0.5000 0.5000  12 Pu 3.38
O 0.0000 0.0000 0.0000  6 Pu 2.39
Pu 0.0000 0.5000 0.0000  2 O 2.39
Pu 0.0000 0.0000 0.5000  2 O 2.39
Pu 0.5000 0.0000 0.0000  2 O 2.39

Calculated values
Space-group type = No. 221
Final energy = -11.5968 eV/atom
ΔE_f (raw) = -1.083 eV per atom